(1)
DFT (PBE) results for a geometry-optimized PmEr2Pd2 structure.

Properties
energy relative to the elements = -3.5 eV/f.u.
electronic total energy = -5.559 eV per atom
volume = 241 Å³/cell

Lattice parameters (Å, degrees): 3.8719 7.8848 7.8848 90.00 90.00 90.00
With the nearest neighbours (Å) after each atom.
Atoms (fractional coordinates):
Pd 0.5000 0.1306 0.8694  1 Pd 2.91, 6 Er 3.01-3.03, 2 Pm 3.09
Pd 0.5000 0.6306 0.6306  1 Pd 2.91, 6 Er 3.01-3.03, 2 Pm 3.09
Pd 0.5000 0.8694 0.1306  1 Pd 2.91, 6 Er 3.01-3.03, 2 Pm 3.09
Pd 0.5000 0.3694 0.3694  1 Pd 2.91, 6 Er 3.01-3.03, 2 Pm 3.09
Pm 0.5000 0.0000 0.5000  4 Pd 3.09
Pm 0.5000 0.5000 0.0000  4 Pd 3.09
Er 0.0000 0.8374 0.8374  6 Pd 3.01-3.03
Er 0.0000 0.6626 0.3374  6 Pd 3.01-3.03
Er 0.0000 0.1626 0.1626  6 Pd 3.01-3.03
Er 0.0000 0.3374 0.6626  6 Pd 3.01-3.03

=====

(2)
DFT (PBE) results for a geometry-optimized ScCd2Ru structure.

Properties
energy relative to the elements = -0.5 eV/f.u.
electronic total energy = -4.488 eV per atom
volume = 74 Å³/cell

Lattice parameters (Å, degrees): 4.0179 4.0179 4.5897 90.00 90.00 90.00
With the nearest neighbours (Å) after each atom.
Atoms (fractional coordinates):
Ru 0.5000 0.0000 0.5000  4 Sc 2.84, 8 Cd 3.05
Cd 0.0000 0.0000 0.0000  4 Cd 2.84, 4 Ru 3.05, 4 Sc 3.05
Cd 0.5000 0.5000 0.0000  4 Cd 2.84, 4 Ru 3.05, 4 Sc 3.05
Sc 0.0000 0.5000 0.5000  4 Ru 2.84, 8 Cd 3.05

=====

(3)
DFT (PBE) results for a geometry-optimized Cr2FeCo structure.

Properties
energy relative to the elements = 0.3 eV/f.u.
electronic total energy = -8.625 eV per atom
volume = 44 Å³/cell

Lattice parameters (Å, degrees): 4.3233 4.3233 2.4896 90.00 90.00 109.63
With the nearest neighbours (Å) after each atom.
Atoms (fractional coordinates):
Cr 0.5000 0.5000 0.0000  4 Cr 2.49, 4 Co 2.49, 4 Fe 2.49
Cr 0.0000 0.0000 0.0000  4 Cr 2.49, 4 Fe 2.49, 4 Co 2.49
Co 0.0000 0.5000 0.5000  2 Co 2.49, 2 Fe 2.49, 8 Cr 2.49
Fe 0.5000 0.0000 0.5000  2 Fe 2.49, 2 Co 2.49, 8 Cr 2.49

=====

(4)
DFT (PBE) results for a geometry-optimized Ac6Cd2In structure.

Properties
energy relative to the elements = -1.9 eV/f.u.
electronic total energy = -3.463 eV per atom
volume = 342 Å³/cell

Lattice parameters (Å, degrees): 5.7592 7.4541 9.1058 82.98 71.56 67.28
With the nearest neighbours (Å) after each atom.
Atoms (fractional coordinates):
Ac 0.6498 0.2003 0.5000  2 Cd 3.54, 2 In 3.54
Ac 0.3155 0.2036 0.1655  3 Cd 3.52-3.53, 1 In 3.54
Ac 0.6845 0.7964 0.8345  3 Cd 3.52-3.53, 1 In 3.54
Ac 0.0190 0.7964 0.1655  3 Cd 3.52-3.53, 1 In 3.54
Ac 0.3502 0.7997 0.5000  2 Cd 3.54, 2 In 3.54
Ac 0.9810 0.2036 0.8345  3 Cd 3.52-3.53, 1 In 3.54
Cd 0.3334 0.5000 0.8331  8 Ac 3.52-3.54
Cd 0.6666 0.5000 0.1669  8 Ac 3.52-3.54
In 0.0000 0.5000 0.5000  8 Ac 3.54

=====

(5)
DFT (PBE) results for a geometry-optimized NiPbCl2 structure.

Properties
E_form (uncorrected) = -309.9 meV/atom
electronic total energy = -3.606 eV per atom
volume = 179 Å³/cell

Lattice parameters (Å, degrees): 7.8789 7.8789 6.2711 51.08 51.08 90.00
With the nearest neighbours (Å) after each atom.
Atoms (fractional coordinates):
Cl 0.8750 0.7557 0.7500  2 Ni 2.34
Cl 0.3750 0.4943 0.7500  2 Ni 2.34
Cl 0.2443 0.6250 0.2500  2 Ni 2.34
Cl 0.5057 0.1250 0.2500  2 Ni 2.34
Pb 0.7500 0.2500 0.5000  2 Ni 2.88, 4 Cl 3.10
Pb 0.0000 0.0000 0.0000  2 Ni 2.88, 4 Cl 3.10
Ni 0.5000 0.5000 0.0000  4 Cl 2.34
Ni 0.2500 0.7500 0.5000  4 Cl 2.34

=====

(6)
DFT (PBE) results for a geometry-optimized Tc5Au structure.

Properties
energy relative to the elements = 3.5 eV/f.u.
electronic total energy = -8.604 eV per atom
volume = 100 Å³/cell

Lattice parameters (Å, degrees): 5.0291 5.0291 4.5498 90.00 90.00 120.00
With the nearest neighbours (Å) after each atom.
Atoms (fractional coordinates):
Tc 0.6667 0.3333 0.0000  9 Tc 2.70-2.90, 3 Au 2.90
Tc 0.3333 0.6667 0.0000  9 Tc 2.70-2.90, 3 Au 2.90
Tc 0.0000 0.5000 0.5000  8 Tc 2.51-2.70
Tc 0.5000 0.0000 0.5000  8 Tc 2.51-2.70
Tc 0.5000 0.5000 0.5000  8 Tc 2.51-2.70
Au 0.0000 0.0000 0.0000  6 Tc 2.90

=====

| no. | DOS at the Fermi energy (states/eV per cell) |
| --- | --- |
| 1 | 9.78 |
| 2 | 2.71 |
| 3 | 4.14 |
| 4 | 12.03 |
| 5 | 14.47 |
| 6 | 6.85 |